# 1
Density functional theory data (PBE) for a geometry-optimized Cd4Ag2Au5 structure.

- Spin magnetization: 0.0 μB per cell
- Space group: Immm
- E_tot: -24.956 eV/f.u.

Cell lengths 12.624, 12.624, 12.624 Å; angles 166.77, 144.86, 37.70 degrees
Fractional coordinates of all 11 atoms:
Cd 0.178 0.178 0.000
Cd 0.182 0.500 0.682
Cd 0.818 0.500 0.318
Cd 0.822 0.822 0.000
Ag 0.399 0.399 0.000
Ag 0.601 0.601 0.000
Au 0.115 0.299 0.815
Au 0.484 0.299 0.185
Au 0.500 0.000 0.500
Au 0.516 0.701 0.815
Au 0.885 0.701 0.185

=====

# 2
Density functional theory data (PBE) for a geometry-optimized RbCa2LaCl8 structure.

- Spin magnetization: 0.0 μB per cell
- Space group: P2/m
- E_tot: -52.171 eV/f.u.
- Energy relative to the elements, uncorrected: -27.5 eV/f.u.

Cell lengths 6.584, 8.838, 6.792 Å; angles 90.00, 90.45, 90.00 degrees
Fractional coordinates of all 12 atoms:
Rb 0.000 0.000 0.000
Ca 0.500 0.245 0.500
Ca 0.500 0.755 0.500
La 0.000 0.500 0.000
Cl 0.242 0.283 0.181
Cl 0.242 0.717 0.181
Cl 0.278 0.500 0.673
Cl 0.289 0.000 0.634
Cl 0.711 0.000 0.366
Cl 0.722 0.500 0.327
Cl 0.758 0.283 0.819
Cl 0.758 0.717 0.819

=====

# 3
Density functional theory data (PBE) for a geometry-optimized La2Ga5Ag structure.

- Spin magnetization: 0.0 μB per cell
- Space group: I4mm
- E_tot: -31.484 eV/f.u.

Cell lengths 6.430, 6.430, 6.430 Å; angles 120.75, 120.75, 88.71 degrees
Fractional coordinates of all 8 atoms:
La 0.000 0.500 0.500
La 0.500 0.000 0.500
Ga 0.046 0.046 0.586
Ga 0.046 0.459 0.000
Ga 0.459 0.046 0.000
Ga 0.459 0.459 0.414
Ga 0.478 0.478 0.000
Ag 0.777 0.777 0.000

=====

# 4
Density functional theory data (PBE) for a geometry-optimized MgFeW2 structure.

- Spin magnetization: 2.0 μB per cell
- Space group: P4mm
- E_tot: -34.435 eV/f.u.

Cell lengths 3.185, 3.185, 6.205 Å; angles 90.00, 90.00, 90.00 degrees
Fractional coordinates of all 4 atoms:
Mg 0.000 0.000 0.000
Fe 0.500 0.500 0.744
W 0.000 0.000 0.522
W 0.500 0.500 0.291

=====

# 5
Density functional theory data (PBE) for a geometry-optimized ZnPb4 structure.

- Spin magnetization: 0.0 μB per cell
- Space group: I4/m
- E_tot: -15.634 eV/f.u.

Cell lengths 6.239, 6.239, 6.239 Å; angles 96.37, 96.37, 141.10 degrees
Fractional coordinates of all 5 atoms:
Zn 0.000 0.000 0.000
Pb 0.220 0.418 0.639
Pb 0.418 0.780 0.198
Pb 0.582 0.220 0.802
Pb 0.780 0.582 0.361

=====

# 6
Density functional theory data (PBE) for a geometry-optimized TeRuW2 structure.

- Spin magnetization: 0.0 μB per cell
- Space group: Pm
- E_tot: -36.025 eV/f.u.
- Energy relative to the elements, uncorrected: 2.3 eV/f.u.

Cell lengths 2.945, 4.325, 5.440 Å; angles 90.00, 101.62, 90.00 degrees
Fractional coordinates of all 4 atoms:
Te 0.000 0.000 0.000
Ru 0.917 0.500 0.744
W 0.309 0.000 0.504
W 0.574 0.500 0.255

=====

# 7
Density functional theory data (PBE) for a geometry-optimized Zr5AlSi2 structure.

- Spin magnetization: 0.0 μB per cell
- Space group: I4/mmm
- E_tot: -60.530 eV/f.u.
- Energy relative to the elements, uncorrected: -3.2 eV/f.u.

Cell lengths 8.964, 8.964, 8.964 Å; angles 152.19, 152.19, 39.74 degrees
Fractional coordinates of all 8 atoms:
Zr 0.000 0.000 0.000
Zr 0.138 0.638 0.500
Zr 0.362 0.862 0.500
Zr 0.638 0.138 0.500
Zr 0.862 0.362 0.500
Al 0.500 0.500 0.000
Si 0.248 0.248 0.000
Si 0.752 0.752 0.000

=====

# 8
Density functional theory data (PBE) for a geometry-optimized RbNpGaI6 structure.

- Spin magnetization: 6.0 μB per cell
- Space group: P4_2nm
- E_tot: -33.739 eV/f.u.
- Energy relative to the elements, uncorrected: -7.5 eV/f.u.

Cell lengths 7.970, 7.970, 14.487 Å; angles 90.00, 90.00, 90.00 degrees
Fractional coordinates of all 18 atoms:
Rb 0.000 0.000 0.000
Rb 0.500 0.500 0.500
Np 0.000 0.000 0.338
Np 0.500 0.500 0.838
Ga 0.000 0.000 0.663
Ga 0.500 0.500 0.163
I 0.175 0.175 0.497
I 0.201 0.201 0.200
I 0.235 0.235 0.825
I 0.265 0.735 0.325
I 0.299 0.701 0.700
I 0.325 0.675 0.997
I 0.675 0.325 0.997
I 0.701 0.299 0.700
I 0.735 0.265 0.325
I 0.765 0.765 0.825
I 0.799 0.799 0.200
I 0.825 0.825 0.497

=====

# 9
Density functional theory data (PBE) for a geometry-optimized MgCrOs2 structure.

- Spin magnetization: 0.8 μB per cell
- Space group: I-4m2
- E_tot: -32.180 eV/f.u.

Cell lengths 4.838, 4.838, 4.838 Å; angles 134.37, 134.37, 66.51 degrees
Fractional coordinates of all 4 atoms:
Mg 0.000 0.000 0.000
Cr 0.750 0.250 0.500
Os 0.250 0.750 0.500
Os 0.500 0.500 0.000

=====

# 10
Density functional theory data (PBE) for a geometry-optimized NaCdIn2Ru structure.

- Spin magnetization: 0.0 μB per cell
- Space group: P4/mmm
- E_tot: -16.813 eV/f.u.

Cell lengths 5.153, 5.153, 5.296 Å; angles 90.00, 90.00, 90.00 degrees
Fractional coordinates of all 5 atoms:
Na 0.000 0.000 0.000
Cd 0.500 0.500 0.000
In 0.000 0.500 0.500
In 0.500 0.000 0.500
Ru 0.500 0.500 0.500